Material: ErThBe4
Method: DFT, PBE-GGA
State: optimized geometry

Total moment, μB/cell: 0.0
VASP energy, eV/cell: -26.16
ρ, kg/m³: 7790

extended XYZ file:
```
6
Lattice="0.000 3.593 3.593 3.593 0.000 3.593 3.593 3.593 0.000" Properties=species:S:1:pos:R:3 pbc="T T T"
Er 0.000 0.000 0.000
Th 1.797 1.797 1.797
Be 4.521 2.666 2.666
Be 2.666 4.521 2.666
Be 2.666 2.666 4.521
Be 4.521 4.521 4.521
```

=====

Material: ErThBeZn
Method: DFT, PBE-GGA
State: optimized geometry

Total moment, μB/cell: 0.0
VASP energy, eV/cell: -17.09
ρ, kg/m³: 8896

extended XYZ file:
```
4
Lattice="0.000 3.536 3.536 3.536 0.000 3.536 3.536 3.536 0.000" Properties=species:S:1:pos:R:3 pbc="T T T"
Er 0.000 0.000 0.000
Th 3.536 3.536 3.536
Be 1.768 1.768 1.768
Zn 5.304 5.304 5.304
```